DFT (GGA-PBE) results for CrMo2As after structural relaxation.

Cell: 3.185 3.185 5.826 Å, 90.00 90.00 90.00°
Space group P4mm (No. 99)
Inequivalent atoms, fractional coordinates:
Cr1 0.000 0.000 0.000 (multiplicity 1)
Mo1 0.000 0.000 0.515 (multiplicity 1)
Mo2 0.500 0.500 0.211 (multiplicity 1)
As1 0.500 0.500 0.742 (multiplicity 1)

Output
Total energy = -8.911 eV per atom
Total magnetic moment = 1.1 μB per formula unit